The following is a GGA+U calculation of an optimized crystal structure of KCoSO4, from Alexandria via LeMat-Bulk.

Lattice parameters (Å, degrees): 5.268 6.476 7.139 90.00 105.94 90.00
Space group P2_1/m (No. 11)
One atom of each set of equivalent atoms:
K 0.178 0.250 0.371
Co 0.274 0.250 0.874
S 0.265 0.750 0.214
O 0.051 0.750 0.024
O 0.129 0.750 0.373
O 0.441 0.565 0.229

Size of the total moment (μB per cell): 4.00
Final energy (eV per atom): -5.5670
Crystal system: monoclinic